Material: NaNdIn2Br6
Method: DFT, PBE
State: relaxed

```
NaNdIn2Br6
1.0
-3.290 7.073 -1.777
-6.334 2.616 4.128
0.919 6.259 5.197
Na Nd In Br
1 1 2 6
direct
0.816 0.816 0.553 Na
0.321 0.321 0.038 Nd
0.529 0.529 0.412 In
0.026 0.025 0.924 In
0.584 0.168 0.263 Br
0.168 0.985 0.263 Br
0.985 0.584 0.263 Br
0.463 0.668 0.767 Br
0.668 0.103 0.767 Br
0.103 0.463 0.767 Br
```

VASP energy ... -3.49 eV/atom
N(E_F) ... 0.00 states/eV per cell
Space-group type ... R3, No. 146
Energy relative to the elements, uncorrected ... -1327 meV per atom



Material: Na2NdInBr6
Method: DFT, PBE
State: relaxed

```
Na2NdInBr6
1.0
-5.214 -3.234 4.603
-3.735 -6.305 -2.264
1.998 -7.156 3.633
Na Nd In Br
2 1 1 6
direct
0.518 0.518 0.446 Na
0.006 0.006 0.981 Na
0.324 0.324 0.029 Nd
0.808 0.808 0.575 In
0.589 0.242 0.237 Br
0.242 0.932 0.237 Br
0.932 0.589 0.238 Br
0.373 0.724 0.757 Br
0.724 0.146 0.757 Br
0.146 0.373 0.757 Br
```

VASP energy ... -3.52 eV/atom
N(E_F) ... 0.00 states/eV per cell
Space-group type ... R3, No. 146
Energy relative to the elements, uncorrected ... -1503 meV per atom



Material: NaNpInBr6
Method: DFT, PBE
State: relaxed

```
NaNpInBr6
1.0
7.525 0.000 0.000
-3.763 6.517 0.000
0.000 0.000 13.902
Na Np In Br
2 2 2 12
direct
0.333 0.667 0.250 Na
0.667 0.333 0.750 Na
0.667 0.333 0.250 Np
0.333 0.667 0.750 Np
0.000 0.000 0.000 In
0.000 0.000 0.500 In
0.651 0.628 0.134 Br
0.977 0.349 0.134 Br
0.349 0.977 0.634 Br
0.023 0.651 0.866 Br
0.372 0.349 0.366 Br
0.977 0.628 0.366 Br
0.628 0.977 0.866 Br
0.651 0.023 0.366 Br
0.023 0.372 0.634 Br
0.372 0.023 0.134 Br
0.628 0.651 0.634 Br
0.349 0.372 0.866 Br
```

VASP energy ... -4.21 eV/atom
N(E_F) ... 8.94 states/eV per cell
Space-group type ... P-31c, No. 163
Energy relative to the elements, uncorrected ... -1202 meV per atom



Material: Na2InPbBr6
Method: DFT, PBE
State: relaxed

```
Na2InPbBr6
1.0
7.528 0.001 0.000
3.765 6.519 0.000
3.764 2.173 6.867
Na In Pb Br
2 1 1 6
direct
0.515 0.515 0.455 Na
0.014 0.014 0.958 Na
0.321 0.321 0.036 In
0.820 0.820 0.540 Pb
0.597 0.223 0.250 Br
0.223 0.929 0.250 Br
0.929 0.597 0.250 Br
0.416 0.715 0.759 Br
0.715 0.111 0.759 Br
0.111 0.416 0.758 Br
```

VASP energy ... -2.99 eV/atom
N(E_F) ... 5.11 states/eV per cell
Space-group type ... R3, No. 146
Energy relative to the elements, uncorrected ... -1075 meV per atom